# 1
First-principles (PBE) data for a relaxed structure of CaRe3As, as listed in Alexandria.

As for the calculated density: 11.1 g/cm³. The value obtained for the formation enthalpy at 0 K is 3336 meV/atom.

The structure belongs to space group Pm-3m (No. 221); the cell edges are 4.6521, 4.6521 and 4.6521 Å and the angles 90.00°, 90.00° and 90.00°. The asymmetric unit holds Ca at (0.0000, 0.0000, 0.0000), Re at (0.0000, 0.0000, 0.5000) and As at (0.5000, 0.5000, 0.5000).

# 2
First-principles (PBE) data for a relaxed structure of GaTeHI2, as listed in Alexandria.

Its total energy is -2.004 eV per atom. As for the calculated density: 4.2 g/cm³.

The structure belongs to space group P4/mmm (No. 123); the cell edges are 5.7677, 5.7677 and 5.3798 Å and the angles 90.00°, 90.00° and 90.00°. The asymmetric unit holds Ga at (0.0000, 0.0000, 0.0000), Te at (0.0000, 0.0000, 0.5000), H at (0.5000, 0.5000, 0.5000) and I at (0.0000, 0.5000, 0.0000).

# 3
First-principles (PBE) data for a relaxed structure of Ca3Hg4Pd2, as listed in Alexandria.

As for the calculated density: 8.5 g/cm³. The value obtained for the formation enthalpy at 0 K is -478 meV/atom.

The structure belongs to space group P-1 (No. 2); the cell edges are 4.7490, 6.0531 and 8.6385 Å and the angles 103.44°, 90.86° and 113.00°. The asymmetric unit holds Ca at (0.0000, 0.0000, 0.0000), Ca at (0.3833, 0.7654, 0.6206), Hg at (0.0963, 0.1937, 0.6537), Hg at (0.3204, 0.6411, 0.9556) and Pd at (0.2556, 0.5103, 0.2574).

# 4
First-principles (PBE) data for a relaxed structure of Nd6SmMg2, as listed in Alexandria.

As for the calculated density: 5.9 g/cm³. The value obtained for the formation enthalpy at 0 K is 89 meV/atom.

The structure belongs to space group Cmcm (No. 63); the cell edges are 19.3061, 11.8696 and 5.2037 Å and the angles 90.00°, 90.00° and 90.00°. The asymmetric unit holds Nd at (0.0870, 0.0859, 0.2500), Nd at (0.0995, 0.3904, 0.2500), Nd at (0.1852, 0.2023, 0.7500), Sm at (0.0000, 0.2495, 0.7500) and Mg at (0.2410, 0.4487, 0.7500).

# 5
First-principles (PBE) data for a relaxed structure of CsBeC3, as listed in Alexandria.

As for the calculated density: 3.1 g/cm³. The value obtained for the formation enthalpy at 0 K is 4567 meV/atom.

The structure belongs to space group Pm-3m (No. 221); the cell edges are 4.5564, 4.5564 and 4.5564 Å and the angles 90.00°, 90.00° and 90.00°. The asymmetric unit holds Cs at (0.0000, 0.0000, 0.0000), Be at (0.5000, 0.5000, 0.5000) and C at (0.0000, 0.0000, 0.5000).

# 6
First-principles (PBE) data for a relaxed structure of NdScAs2, as listed in Alexandria.

As for the calculated density: 5.7 g/cm³. The value obtained for the formation enthalpy at 0 K is -1254 meV/atom.

The structure belongs to space group R3m (No. 160, hexagonal axes); the cell edges are 4.0615, 4.0615 and 20.7306 Å and the angles 90.00°, 90.00° and 120.00°. The asymmetric unit holds Nd at (0.0000, 0.0000, 0.0000), Sc at (0.0000, 0.0000, 0.1717), As at (0.0000, 0.0000, 0.4259) and As at (0.0000, 0.0000, 0.5797).